Here is a geometry-optimized Bi2Ir2Au structure from Alexandria via LeMat-Bulk. Energies are from PBE.

a b c (Å): 5.3103 5.3103 4.9156
angles (deg): 90.00 90.00 90.00
Last column: magnetic moment on the atom in μB.
Sites, in units of the cell vectors:
Ir (0.5000, 0.5000, 0.5000)  0.58
Ir (0.0000, 0.0000, 0.5000)  0.74
Au (0.0000, 0.0000, 0.0000)  0.05
Bi (0.0000, 0.5000, 0.0000)  -0.01
Bi (0.5000, 0.0000, 0.0000)  -0.01

Calculated values
Formation energy from the elements = 1.737 eV per atom
Space-group type = P4/mmm (123)



Here is a geometry-optimized BiIrAu2 structure from Alexandria via LeMat-Bulk. Energies are from PBE.

a b c (Å): 7.8858 7.8858 6.1986
angles (deg): 50.50 50.50 90.00
Sites, in units of the cell vectors:
Ir (0.5000, 0.5000, 0.0000)
Ir (0.2500, 0.7500, 0.5000)
Au (0.6005, 0.1250, 0.2500)
Au (0.1495, 0.6250, 0.2500)
Au (0.3750, 0.3995, 0.7500)
Au (0.8750, 0.8505, 0.7500)
Bi (0.0000, 0.0000, 0.0000)
Bi (0.7500, 0.2500, 0.5000)

Calculated values
Formation energy from the elements = 0.415 eV per atom
Space-group type = I-42d (122)



- Look up the formation energy from the elements of the second one.
  0.415 eV per atom